(1)
First-principles (PBE) data for a geometry-optimized K2SiH5 structure, as listed in Alexandria.

abc: 5.5785 5.5785 5.5027
angles: 120.47 120.47 89.98
Positions (direct):
H (0.7943, 0.7943, 0.5887)
H (0.7924, 0.2100, 0.0024)
H (0.7924, 0.7924, 0.0023)
H (0.2099, 0.2099, 0.0023)
H (0.2100, 0.7924, 0.0024)
K (0.7409, 0.2409, 0.4817)
K (0.2409, 0.7409, 0.4817)
Si (0.9963, 0.9963, 0.9926)

The raw total energy is -3.124 eV/atom. For the total magnetization, the calculation gives 0.3 μB per cell.



(2)
First-principles (PBE) data for a geometry-optimized Er4CdAgHg2 structure, as listed in Alexandria.

abc: 5.1914 5.1914 8.9929
angles: 73.22 73.22 60.00
Positions (direct):
Ag (0.5000, 0.5000, 0.5000)
Er (0.8728, 0.8728, 0.3816)
Er (0.6225, 0.6225, 0.1326)
Er (0.1272, 0.1272, 0.6184)
Er (0.3775, 0.3775, 0.8674)
Hg (0.7474, 0.7474, 0.7580)
Hg (0.2526, 0.2526, 0.2420)
Cd (0.0000, 0.0000, 0.0000)

The raw total energy is -3.238 eV/atom. For the total magnetization, the calculation gives 0.0 μB per cell. The formation energy is -0.410 eV/atom.



(3)
First-principles (PBE) data for a geometry-optimized ErAlAgRh structure, as listed in Alexandria.

abc: 4.6791 4.6791 4.6791
angles: 60.00 60.00 60.00
Positions (direct):
Er (0.0000, 0.0000, 0.0000)
Al (0.5000, 0.5000, 0.5000)
Rh (0.7500, 0.7500, 0.7500)
Ag (0.2500, 0.2500, 0.2500)

The raw total energy is -5.169 eV/atom. For the total magnetization, the calculation gives 0.0 μB per cell. The formation energy is -0.542 eV/atom.



(4)
First-principles (PBE) data for a geometry-optimized Sm8Ho3In structure, as listed in Alexandria.

abc: 8.3866 8.3866 8.3866
angles: 93.92 117.76 117.76
Positions (direct):
Sm (0.0000, 0.7269, 0.2361)
Sm (0.0000, 0.6197, 0.8736)
Sm (0.7461, 0.1264, 0.1264)
Sm (0.4907, 0.7639, 0.7639)
Sm (0.5093, 0.2731, 0.2731)
Sm (0.0000, 0.8736, 0.6197)
Sm (0.2539, 0.3803, 0.3803)
Sm (0.0000, 0.2361, 0.7269)
Ho (0.5000, 0.2500, 0.7500)
Ho (0.0000, 0.5000, 0.5000)
Ho (0.5000, 0.7500, 0.2500)
In (0.0000, 0.0000, 0.0000)

The raw total energy is -4.049 eV/atom. For the total magnetization, the calculation gives 0.0 μB per cell. The formation energy is 0.470 eV/atom.



(5)
First-principles (PBE) data for a geometry-optimized Ho8NiTe4P3 structure, as listed in Alexandria.

abc: 8.2195 8.4456 8.2197
angles: 119.12 120.00 90.00
Positions (direct):
Te (0.5000, 0.0000, 0.0000)
Te (0.0000, 0.0000, 0.0000)
Te (0.5000, 0.0000, 0.5000)
Te (0.0000, 0.0000, 0.5000)
Ho (0.2337, 0.7097, 0.9760)
Ho (0.7663, 0.2903, 0.0240)
Ho (0.2337, 0.7097, 0.4674)
Ho (0.7424, 0.7097, 0.9760)
Ho (0.7366, 0.7098, 0.4732)
Ho (0.2576, 0.2903, 0.0240)
Ho (0.7663, 0.2903, 0.5326)
Ho (0.2634, 0.2902, 0.5268)
P (0.5000, 0.5000, 0.5000)
P (0.0000, 0.5000, 0.5000)
P (0.5000, 0.5000, 0.0000)
Ni (0.0000, 0.5000, 0.0000)

The raw total energy is -5.779 eV/atom. For the total magnetization, the calculation gives 0.0 μB per cell. The calculation puts the uncorrected formation energy at -1328.9 meV/atom.



(6)
First-principles (PBE) data for a geometry-optimized InFeP2Au structure, as listed in Alexandria.

abc: 4.9645 4.9354 4.9645
angles: 90.00 90.00 90.00
Positions (direct):
Fe (0.0000, 0.5000, 0.0000)
In (0.0000, 0.0000, 0.0000)
Au (0.5000, 0.5000, 0.5000)
P (0.5000, 0.0000, 0.0000)
P (0.0000, 0.0000, 0.5000)

The raw total energy is -3.579 eV/atom. For the total magnetization, the calculation gives 3.3 μB per cell. The formation energy is 1.480 eV/atom.



(7)
First-principles (PBE) data for a geometry-optimized Eu2InPb structure, as listed in Alexandria.

abc: 3.9790 3.9790 7.9416
angles: 90.00 90.00 90.00
Positions (direct):
In (0.5000, 0.5000, 0.5000)
Pb (0.5000, 0.5000, 0.0000)
Eu (0.0000, 0.0000, 0.7455)
Eu (0.0000, 0.0000, 0.2545)

The raw total energy is -7.251 eV/atom. For the total magnetization, the calculation gives 14.3 μB per cell. The formation energy is -0.502 eV/atom.



Question: The highest raw total energy belongs to which entry?
Answer: K2SiH5



Please write out number 2 again, unchanged.
First-principles (PBE) data for a geometry-optimized Er4CdAgHg2 structure, as listed in Alexandria.

abc: 5.1914 5.1914 8.9929
angles: 73.22 73.22 60.00
Positions (direct):
Ag (0.5000, 0.5000, 0.5000)
Er (0.8728, 0.8728, 0.3816)
Er (0.6225, 0.6225, 0.1326)
Er (0.1272, 0.1272, 0.6184)
Er (0.3775, 0.3775, 0.8674)
Hg (0.7474, 0.7474, 0.7580)
Hg (0.2526, 0.2526, 0.2420)
Cd (0.0000, 0.0000, 0.0000)

The raw total energy is -3.238 eV/atom. For the total magnetization, the calculation gives 0.0 μB per cell. The formation energy is -0.410 eV/atom.



Question: Which of these has the highest raw total energy?
Answer: K2SiH5



Please write out number 2 again, unchanged.
First-principles (PBE) data for a geometry-optimized Er4CdAgHg2 structure, as listed in Alexandria.

abc: 5.1914 5.1914 8.9929
angles: 73.22 73.22 60.00
Positions (direct):
Ag (0.5000, 0.5000, 0.5000)
Er (0.8728, 0.8728, 0.3816)
Er (0.6225, 0.6225, 0.1326)
Er (0.1272, 0.1272, 0.6184)
Er (0.3775, 0.3775, 0.8674)
Hg (0.7474, 0.7474, 0.7580)
Hg (0.2526, 0.2526, 0.2420)
Cd (0.0000, 0.0000, 0.0000)

The raw total energy is -3.238 eV/atom. For the total magnetization, the calculation gives 0.0 μB per cell. The formation energy is -0.410 eV/atom.